Entry 1:
{
  "formula": "NaMg6Pd12",
  "functional": "PBE-GGA",
  "state": "optimized geometry",
  "ef_ev_per_atom": -0.4007,
  "cell": [[-3.2344, -5.9033, 2.9047], [2.8929, -2.0716, -6.4099], [5.5859, 1.7740, 4.4043]],
  "species": ["Na", "Mg", "Mg", "Mg", "Mg", "Mg", "Mg", "Pd", "Pd", "Pd", "Pd", "Pd", "Pd", "Pd", "Pd", "Pd", "Pd", "Pd", "Pd"],
  "frac_coords": [[0.0000, 0.0000, 0.0000], [0.7937, 0.9189, 0.5271], [0.4729, 0.2063, 0.0811], [0.0811, 0.4729, 0.2063], [0.2063, 0.0811, 0.4729], [0.5271, 0.7937, 0.9189], [0.9189, 0.5271, 0.7937], [0.8140, 0.5192, 0.4096], [0.4096, 0.8140, 0.5192], [0.5192, 0.4096, 0.8140], [0.1860, 0.4808, 0.5904], [0.5904, 0.1860, 0.4808], [0.4808, 0.5904, 0.1860], [0.8699, 0.7284, 0.1675], [0.2716, 0.8325, 0.1301], [0.8325, 0.1301, 0.2716], [0.1301, 0.2716, 0.8325], [0.7284, 0.1675, 0.8699], [0.1675, 0.8699, 0.7284]]
}

Entry 2:
{
  "formula": "Zr2TlAs",
  "functional": "PBE-GGA",
  "state": "optimized geometry",
  "ef_ev_per_atom": -0.4367,
  "de_polymorph_mev_per_atom": 145.0,
  "cell": [[3.5855, 0.0000, 0.0000], [0.0000, 3.2468, 0.0158], [0.0000, 2.1474, 7.4446]],
  "species": ["Tl", "As", "Zr", "Zr"],
  "frac_coords": [[0.5000, 0.7500, 0.7500], [0.5000, 0.2500, 0.2500], [0.0000, 0.0485, 0.0310], [0.0000, 0.4515, 0.4690]]
}

Entry 3:
{
  "formula": "ScNi2P",
  "functional": "PBE-GGA",
  "state": "optimized geometry",
  "ef_ev_per_atom": -0.5658,
  "de_polymorph_mev_per_atom": 314.8,
  "cell": [[0.1123, -1.6211, 4.1918], [2.9012, 0.5969, 3.3821], [-1.1392, 2.4972, 2.9171]],
  "species": ["Sc", "Ni", "Ni", "P"],
  "frac_coords": [[0.0000, 0.0000, 0.5000], [0.2336, 0.2336, 0.7660], [0.7664, 0.7664, 0.2340], [0.5000, 0.5000, 0.0000]]
}

Entry 4:
{
  "formula": "CsZnP",
  "functional": "PBE-GGA",
  "state": "optimized geometry",
  "ef_ev_per_atom": -0.3537,
  "cell": [[11.7329, 0.0000, 0.0000], [0.0000, 4.1730, 0.0000], [0.0000, 0.0000, 8.4615]],
  "species": ["Cs", "Cs", "Cs", "Cs", "P", "P", "P", "P", "Zn", "Zn", "Zn", "Zn"],
  "frac_coords": [[0.8196, 0.2500, 0.5115], [0.6804, 0.7500, 0.0115], [0.1804, 0.7500, 0.4885], [0.3196, 0.2500, 0.9885], [0.5392, 0.2500, 0.2914], [0.9608, 0.7500, 0.7914], [0.4608, 0.7500, 0.7086], [0.0392, 0.2500, 0.2086], [0.9849, 0.2500, 0.9126], [0.5151, 0.7500, 0.4126], [0.0151, 0.7500, 0.0874], [0.4849, 0.2500, 0.5874]]
}

Entry 5:
{
  "formula": "AcNiAgPb",
  "functional": "PBE-GGA",
  "state": "optimized geometry",
  "ef_ev_per_atom": -0.1169,
  "cell": [[-0.1381, -4.4278, 2.6401], [2.8370, -4.0171, -1.5521], [4.0949, -1.4848, 2.7606]],
  "species": ["Pb", "Ni", "Ac", "Ag"],
  "frac_coords": [[0.0000, 0.0000, 0.0000], [0.2500, 0.2500, 0.2500], [0.5000, 0.5000, 0.5000], [0.7500, 0.7500, 0.7500]]
}

Entry 6:
{
  "formula": "KLaBO2",
  "functional": "PBE-GGA",
  "state": "optimized geometry",
  "raw_formation_energy_ev_per_atom": -0.583,
  "cell": [[-1.5864, -1.2311, -4.1622], [-4.4350, -1.9053, 2.2540], [-2.0095, 4.1362, -0.4575]],
  "species": ["K", "B", "O", "O", "La"],
  "frac_coords": [[0.5000, 0.5000, 0.5000], [0.0000, 0.5000, 0.0000], [0.0000, 0.0000, 0.5000], [0.5000, 0.0000, 0.0000], [0.0000, 0.0000, 0.0000]]
}